--- A ---
## ZnAgAu (PBE)

Data for a relaxed ZnAgAu crystal.

Summary:
M_tot = 0.00 μB per formula unit
N(E_F) = 0.5620 states/eV per atom

Unit cell a=4.5015 b=4.5015 c=2.9257 alpha=90.00 beta=90.00 gamma=120.00
Last column: nearest neighbours and their distance in Å.
Fractional coordinates of all 3 atoms:
Zn  0.0000  0.0000  0.0000  3 Au 2.60, 3 Ag 2.92
Ag  0.6667  0.3333  0.4518  6 Zn 2.92-3.05, 2 Ag 2.93, 6 Au 2.96-3.00
Au  0.3333  0.6667  0.9395  3 Zn 2.60

--- B ---
## ZnAgAu (PBE)

Data for a relaxed ZnAgAu crystal.

Summary:
M_tot = 0.00 μB per formula unit
N(E_F) = 0.2953 states/eV per atom

Unit cell a=5.2518 b=5.2518 c=5.2518 alpha=146.77 beta=140.26 gamma=52.74
Last column: nearest neighbours and their distance in Å.
Fractional coordinates of all 3 atoms:
Zn  0.0000  0.0000  0.0000  4 Au 2.73, 4 Ag 2.79, 2 Zn 3.00
Ag  0.6621  0.6621  0.0000  4 Zn 2.79, 5 Au 2.92-2.95, 2 Ag 3.00
Au  0.3487  0.3487  0.0000  4 Zn 2.73, 5 Ag 2.92-2.95, 2 Au 3.00

--- C ---
## ZnAgAu (PBE)

Data for a relaxed ZnAgAu crystal.

Summary:
M_tot = 0.00 μB per formula unit
N(E_F) = 0.2042 states/eV per atom

Unit cell a=2.8621 b=5.2761 c=6.9576 alpha=81.93 beta=78.53 gamma=89.96
Last column: nearest neighbours and their distance in Å.
Fractional coordinates of all 6 atoms:
Zn  0.2495  0.2585  0.4986  3 Au 2.72-2.74, 3 Ag 2.75-2.80, 4 Zn 2.86-2.93
Zn  0.7505  0.7415  0.5014  3 Au 2.72-2.74, 3 Ag 2.75-2.80, 4 Zn 2.86-2.93
Ag  0.4145  0.6326  0.1724  3 Zn 2.75-2.80, 3 Ag 2.86-2.90, 6 Au 2.97-3.03
Ag  0.5855  0.3674  0.8276  3 Zn 2.75-2.80, 3 Ag 2.86-2.90, 6 Au 2.97-3.03
Au  0.0948  0.8761  0.8109  3 Zn 2.72-2.74, 2 Au 2.86, 6 Ag 2.97-3.03
Au  0.9052  0.1239  0.1891  3 Zn 2.72-2.74, 2 Au 2.86, 6 Ag 2.97-3.03

Which structure loses on stability? C does.